1.
A plane-wave DFT calculation with GGA-PBE was carried out for crystalline ZrFeN2 at its relaxed geometry.

a b c (Å): 6.2949 6.2949 6.2949
angles (deg): 28.28 28.28 28.28
Closest atoms and distances in Å follow each position.
Atoms (fractional coordinates):
Fe (0.5000, 0.5000, 0.5000)  6 N 1.99
Zr (0.0000, 0.0000, 0.0000)  2 N 2.11
N (0.8833, 0.8833, 0.8833)  3 Fe 1.99, 1 Zr 2.11
N (0.1167, 0.1167, 0.1167)  3 Fe 1.99, 1 Zr 2.11

Values from the calculation:
- Volume: 49 Å³/cell
- Symmetry: R-3m, No. 166
- Final energy: -8.25 eV/atom
- Calculated density: 5.88 g/cm³

2.
A plane-wave DFT calculation with GGA-PBE was carried out for crystalline CsSrTl2 at its relaxed geometry.

a b c (Å): 9.8476 9.8476 7.9681
angles (deg): 51.83 51.83 90.00
Closest atoms and distances in Å follow each position.
Atoms (fractional coordinates):
Cs (0.0000, 0.0000, 0.0000)  4 Tl 3.84, 2 Sr 3.87
Cs (0.7500, 0.2500, 0.5000)  4 Tl 3.84, 2 Sr 3.87
Sr (0.5000, 0.5000, 0.0000)  4 Tl 3.40
Sr (0.2500, 0.7500, 0.5000)  4 Tl 3.40
Tl (0.5920, 0.1250, 0.2500)  2 Sr 3.40
Tl (0.1580, 0.6250, 0.2500)  2 Sr 3.40
Tl (0.3750, 0.4080, 0.7500)  2 Sr 3.40
Tl (0.8750, 0.8420, 0.7500)  2 Sr 3.40

Values from the calculation:
- Volume: 376 Å³/cell
- Symmetry: I-42d, No. 122
- ΔE to the lowest computed polymorph: 0.311 eV per atom
- Calculated density: 5.56 g/cm³
- E_form: 112 meV/atom

3.
A plane-wave DFT calculation with GGA-PBE was carried out for crystalline Rb3Pb5Au3 at its relaxed geometry.

a b c (Å): 6.7084 9.0361 9.0361
angles (deg): 120.00 90.00 90.00
Closest atoms and distances in Å follow each position.
Atoms (fractional coordinates):
Rb (0.0000, 0.6690, 0.0000)  2 Au 3.37
Rb (0.0000, 0.0000, 0.6690)  2 Au 3.37
Rb (0.0000, 0.3310, 0.3310)  2 Au 3.37
Pb (0.5000, 0.6667, 0.3333)  3 Au 2.86
Pb (0.5000, 0.3333, 0.6667)  3 Au 2.86
Pb (0.5000, 0.2717, 0.0000)  3 Au 3.01-3.23, 2 Pb 3.33
Pb (0.5000, 0.7283, 0.7283)  3 Au 3.01-3.23, 2 Pb 3.33
Pb (0.5000, 0.0000, 0.2717)  3 Au 3.01-3.23, 2 Pb 3.33
Au (0.5000, 0.6286, 0.0000)  4 Pb 2.86-3.01
Au (0.5000, 0.3714, 0.3714)  4 Pb 2.86-3.01
Au (0.5000, 0.0000, 0.6286)  4 Pb 2.86-3.01

Values from the calculation:
- Volume: 474 Å³/cell
- Symmetry: P-62m, No. 189
- Calculated density: 6.59 g/cm³
- E_form: -66 meV/atom

4.
A plane-wave DFT calculation with GGA-PBE was carried out for crystalline La6GePt2Br3 at its relaxed geometry.

a b c (Å): 7.5382 7.5382 7.9548
angles (deg): 99.10 99.10 120.01
Closest atoms and distances in Å follow each position.
Atoms (fractional coordinates):
La (0.9282, 0.5864, 0.7891)  2 Pt 2.94-2.95, 1 Ge 3.03
La (0.7284, 0.7284, 0.2100)  2 Pt 2.95, 1 Ge 3.02, 3 Br 3.29-3.30
La (0.0718, 0.4136, 0.2109)  2 Pt 2.94-2.95, 1 Ge 3.03
La (0.5864, 0.9282, 0.7891)  2 Pt 2.94-2.95, 1 Ge 3.03
La (0.2716, 0.2716, 0.7900)  2 Pt 2.95, 1 Ge 3.02, 3 Br 3.29-3.30
La (0.4136, 0.0718, 0.2109)  2 Pt 2.94-2.95, 1 Ge 3.03
Ge (0.0000, 0.0000, 0.0000)  6 La 3.02-3.03
Pt (0.3326, 0.6674, 0.0000)  6 La 2.94-2.95
Pt (0.6674, 0.3326, 0.0000)  6 La 2.94-2.95
Br (0.1597, 0.8403, 0.5000)  6 La 3.30-3.36
Br (0.8403, 0.1597, 0.5000)  6 La 3.30-3.36
Br (0.5000, 0.5000, 0.5000)  6 La 3.29-3.35

Values from the calculation:
- Volume: 371 Å³/cell
- Symmetry: C2/m, No. 12
- Final energy: -5.54 eV/atom
- Calculated density: 6.87 g/cm³